The following is a PBE-GGA calculation of a geometry-optimized LaRhSCl2 structure, from Alexandria.

Results
The value obtained for the formation energy (no corrections) is -1001 meV/atom. As for the symmetry: P4/mmm, No. 123. For the mass density, the calculation gives 5.3 g/cm³.

```
LaRhSCl2
1.0
-2.451 -3.076 2.619
-0.259 -2.937 -3.692
4.127 -2.108 1.387
S Cl La Rh
1 2 1 1
Direct
0.000 0.000 0.500
0.500 0.000 0.000
0.000 0.500 0.000
0.500 0.500 0.500
0.000 0.000 0.000
```